A plane-wave DFT calculation with GGA-PBE was carried out for a relaxed NaGdSb2 crystal.

## Properties
**E_form (uncorrected)**: -623 meV/atom
**E_tot**: -6.534 eV/atom
**Total moment**: 6.910 Bohr magnetons per cell
**Distance to the lowest polymorph of the same formula**: 0 meV/atom
**Mass density**: 6.2 Mg/m³

Unit cell a=4.0701 b=4.0701 c=6.8930 alpha=90.00 beta=90.00 gamma=90.00
Closest atoms and distances in Å follow each position.
Positions (direct):
Gd  0.5000  0.5000  0.5000  8 Sb 3.28, 2 Na 3.45
Sb  0.0000  0.0000  0.7267  1 Sb 3.13, 4 Gd 3.28, 4 Na 3.44
Na  0.5000  0.5000  0.0000  8 Sb 3.44, 2 Gd 3.45
Sb  0.0000  0.0000  0.2733  1 Sb 3.13, 4 Gd 3.28, 4 Na 3.44